DFT (GGA-PBE) results for a relaxed structure of TlSiW2.

Unit cell a=3.1689 b=3.1238 c=7.2231 alpha=90.00 beta=95.51 gamma=90.00
Atoms (fractional coordinates):
Tl 0.0000 0.0000 0.0000
Si 0.0000 0.0000 0.5000
W 0.4623 0.5000 0.3200
W 0.5377 0.5000 0.6800



DFT (GGA-PBE) results for a relaxed structure of TlSiW2.

Unit cell a=5.2940 b=5.2940 c=2.9010 alpha=101.69 beta=101.69 gamma=114.21
Atoms (fractional coordinates):
Tl 0.0000 0.0000 0.0000
Si 0.5000 0.5000 0.0000
W 0.0000 0.5000 0.5000
W 0.5000 0.0000 0.5000



DFT (GGA-PBE) results for a relaxed structure of TlSi2W.

Unit cell a=4.6381 b=4.6381 c=4.6381 alpha=60.00 beta=60.00 gamma=60.00
Atoms (fractional coordinates):
Tl 0.0000 0.0000 0.0000
Si 0.5000 0.5000 0.5000
Si 0.7500 0.7500 0.7500
W 0.2500 0.2500 0.2500



Relative energy among the computed polymorphs values (in meV/atom) by entry order: 82, 448, 834.
D(E_F) values (in states/eV/atom) by entry order: 0.54, 0.63, 0.65.
Formation energy (no corrections) values (in eV per formula unit) by entry order: 2.010, 3.476, 4.509.